First-principles (PBE-GGA) data for crystalline Mg3Ga2Au at its relaxed geometry, as listed in the Alexandria database.

a b c (Å): 3.4152 3.4152 9.7343
angles (deg): 90.00 90.00 90.00
Positions (direct):
Mg: 0.0000 0.0000 0.0000
Mg: 0.0000 0.0000 0.3441
Mg: 0.0000 0.0000 0.6559
Ga: 0.5000 0.5000 0.1719
Ga: 0.5000 0.5000 0.8281
Au: 0.5000 0.5000 0.5000

Calculated values
formation energy = -291 meV per atom